Record 1
# TiSe GGA-PBE optimized geometry
# formation energy (no corrections) = -0.8462 eV/atom
# total DFT energy (no corrections) = -78.4 eV/cell
data_TiSe
_cell_length_a 9.0828
_cell_length_b 9.0828
_cell_length_c 3.9922
_cell_angle_alpha 90.00
_cell_angle_beta 90.00
_cell_angle_gamma 120.00
_symmetry_space_group_name_H-M 'P 63/m'
_symmetry_Int_Tables_number 176
_symmetry_space_group_name_Hall '-P 6c'
loop_
_atom_site_label
_atom_site_fract_x
_atom_site_fract_y
_atom_site_fract_z
Ti1 0.1382 0.4882 0.2500
Se1 0.0217 0.6915 0.2500

***

Record 2
# TiSe GGA-PBE optimized geometry
# formation energy (no corrections) = -1.1176 eV/atom
# total DFT energy (no corrections) = -54.5 eV/cell
data_TiSe
_cell_length_a 6.4643
_cell_length_b 3.4745
_cell_length_c 6.2737
_cell_angle_alpha 90.00
_cell_angle_beta 90.00
_cell_angle_gamma 90.00
_symmetry_space_group_name_H-M 'P n m a'
_symmetry_Int_Tables_number 62
loop_
_symmetry_equiv_pos_as_xyz
'x,y,z'
'-x,-y,-z'
'-x+1/2,-y,z+1/2'
'x+1/2,y,-z+1/2'
'x+1/2,-y+1/2,-z+1/2'
'-x+1/2,y+1/2,z+1/2'
'-x,y+1/2,-z'
'x,-y+1/2,z'
loop_
_atom_site_label
_atom_site_fract_x
_atom_site_fract_y
_atom_site_fract_z
Ti1 0.0064 0.2500 0.1932
Se1 0.2156 0.2500 0.5794

***

Record 3
# Ti4Se GGA-PBE optimized geometry
# formation energy (no corrections) = 0.0981 eV/atom
# total DFT energy (no corrections) = -34.6 eV/cell
data_Ti4Se
_cell_length_a 4.6500
_cell_length_b 4.6500
_cell_length_c 4.6500
_cell_angle_alpha 90.00
_cell_angle_beta 90.00
_cell_angle_gamma 90.00
_symmetry_space_group_name_H-M 'P m -3 m'
_symmetry_Int_Tables_number 221
_symmetry_space_group_name_Hall '-P 4 2 3'
loop_
_atom_site_label
_atom_site_fract_x
_atom_site_fract_y
_atom_site_fract_z
Ti1 0.0000 0.0000 0.0000
Ti2 0.0000 0.5000 0.5000
Se1 0.5000 0.5000 0.5000